# ErN2F4

A relaxed structure of ErN2F4 (PBE, Alexandria via LeMat-Bulk).

a = 3.9215 Å, b = 3.9496 Å, c = 8.5893 Å
α = 81.86°, β = 77.78°, γ = 60.36°
Space group P-1 (No. 2)
Symmetry-distinct sites (fractional):
Er1 0.0000 0.0000 0.0000 [1 per cell]
N1 0.4535 0.5347 0.5643 [2 per cell]
F1 0.0763 0.0897 0.7434 [2 per cell]
F2 0.3113 0.3258 0.0557 [2 per cell]

Properties
Total energy: -6.268 eV per atom
ΔE_f (raw): -2.17 eV/atom